No. 1
{
  "formula": "CaNbGe",
  "functional": "GGA-PBE",
  "state": "optimized geometry",
  "formation_energy_ev_per_atom": -0.212,
  "m_tot_mub_per_fu": 0.000,
  "vol_a3_per_cell": 128,
  "lattice_angstrom": [[3.0592, 0.0000, 0.0000], [1.3709, 5.6050, 0.0000], [1.5226, 0.0136, 7.4567]],
  "species": ["Ca", "Ca", "Nb", "Nb", "Ge", "Ge"],
  "fractional_positions": [[0.1881, 0.2493, 0.1341], [0.8119, 0.7507, 0.8659], [0.5000, 0.0000, 0.5000], [0.5000, 0.5000, 0.5000], [0.1280, 0.7499, 0.2377], [0.8720, 0.2501, 0.7623]]
}

***

No. 2
{
  "formula": "Li3TiPb",
  "functional": "GGA-PBE",
  "state": "optimized geometry",
  "polymorph_energy_ev_per_fu": 0.00,
  "formation_energy_ev_per_atom": 0.687,
  "m_tot_mub_per_fu": 0.000,
  "vol_a3_per_cell": 117,
  "lattice_angstrom": [[4.8895, 0.0000, 0.0000], [0.0000, 4.8895, 0.0000], [0.0000, 0.0000, 4.8895]],
  "species": ["Li", "Li", "Li", "Ti", "Pb"],
  "fractional_positions": [[0.0000, 0.0000, 0.5000], [0.0000, 0.5000, 0.0000], [0.5000, 0.0000, 0.0000], [0.5000, 0.5000, 0.5000], [0.0000, 0.0000, 0.0000]]
}